First-principles (PBE) data for Sr6Cd2Ni after structural relaxation, as listed in Alexandria via LeMat-Bulk.

```
Sr6Cd2Ni
1.0
7.466 0.000 -0.127
0.000 8.823 0.000
0.162 0.000 11.122
Sr Cd Ni
12 4 2
Direct
0.121 0.027 0.250
0.151 0.305 0.556
0.167 0.332 0.945
0.333 0.832 0.555
0.349 0.805 0.944
0.379 0.527 0.250
0.879 0.973 0.750
0.849 0.695 0.444
0.833 0.668 0.055
0.667 0.168 0.445
0.651 0.195 0.056
0.621 0.473 0.750
0.058 0.615 0.744
0.442 0.115 0.756
0.558 0.885 0.244
0.942 0.385 0.256
0.500 0.500 0.000
0.000 0.000 0.500
```

- formation energy (eV/atom) = -0.1415
- electronic total energy (eV/atom) = -2.11
- density of states at the Fermi level (states/eV/f.u.) = 7.6
- calculated volume (A^3/atom) = 40.71

---

First-principles (PBE) data for SrCd2Ni after structural relaxation, as listed in Alexandria via LeMat-Bulk.

```
SrCd2Ni
1.0
-3.942 -1.984 -4.409
-2.345 -5.460 -1.901
-5.605 -2.731 -0.213
Cd Ni Sr
2 1 1
Direct
0.955 0.955 0.955
0.545 0.545 0.545
0.250 0.250 0.250
0.750 0.750 0.750
```

- formation energy (eV/atom) = -0.1015
- electronic total energy (eV/atom) = -2.42
- density of states at the Fermi level (states/eV/f.u.) = 1.7
- calculated volume (A^3/atom) = 25.60